(1)
# Ac2PmIn12Pt3

An optimized crystal structure of Ac2PmIn12Pt3 (PBE, Alexandria via LeMat-Bulk).

Properties
Formation energy from the elements, eV/atom: -0.161
D(E_F), states/eV/cell: 11.2
Final energy, eV per atom: -3.71
Space group: R-3m, No. 166

The structure in POSCAR format:
```
Ac2PmIn12Pt3
1.0
-4.9476 6.9736 -2.0633
-4.4032 3.3710 6.8276
3.2545 7.6409 2.8969
Ac In Pt Pm
2 12 3 1
direct
0.5837 0.5837 0.5837
0.4163 0.4163 0.4163
0.1659 0.5485 0.1659
0.8341 0.8341 0.4515
0.2735 0.8574 0.2735
0.1659 0.1659 0.5485
0.5485 0.1659 0.1659
0.8574 0.2735 0.2735
0.7265 0.1426 0.7265
0.4515 0.8341 0.8341
0.2735 0.2735 0.8574
0.1426 0.7265 0.7265
0.7265 0.7265 0.1426
0.8341 0.4515 0.8341
0.0000 0.5000 0.0000
0.0000 0.0000 0.5000
0.5000 0.0000 0.0000
0.0000 0.0000 0.0000
```


(2)
# AcPmPuIn

An optimized crystal structure of AcPmPuIn (PBE, Alexandria via LeMat-Bulk).

Properties
Formation energy from the elements, eV/atom: 0.063
D(E_F), states/eV/cell: 13.7
Final energy, eV per atom: -6.42
Space group: F-43m, No. 216

The structure in POSCAR format:
```
AcPmPuIn
1.0
-2.1864 -4.2632 2.9613
2.7168 -1.9727 4.5224
-2.0726 0.9231 5.1553
Pu Pm Ac In
1 1 1 1
direct
0.0000 0.0000 0.0000
0.5000 0.5000 0.5000
0.2500 0.2500 0.2500
0.7500 0.7500 0.7500
```


(3)
# AcPmInRh

An optimized crystal structure of AcPmInRh (PBE, Alexandria via LeMat-Bulk).

Properties
Formation energy from the elements, eV/atom: -0.376
D(E_F), states/eV/cell: 3.2
Final energy, eV per atom: -5.11
Space group: F-43m, No. 216

The structure in POSCAR format:
```
AcPmInRh
1.0
5.3893 0.0000 0.0000
2.6946 4.6672 0.0000
2.6946 1.5557 4.4003
In Rh Pm Ac
1 1 1 1
direct
0.7500 0.7500 0.7500
0.2500 0.2500 0.2500
0.0000 0.0000 0.0000
0.5000 0.5000 0.5000
```


(4)
# AcPmInSb

An optimized crystal structure of AcPmInSb (PBE, Alexandria via LeMat-Bulk).

Properties
D(E_F), states/eV/cell: 4.4
Formation energy (no corrections), eV/atom: -0.57
Final energy, eV per atom: -4.50
Space group: F-43m, No. 216

The structure in POSCAR format:
```
AcPmInSb
1.0
5.6419 0.0000 0.0000
2.8210 4.8861 0.0000
2.8210 1.6287 4.6066
In Pm Ac Sb
1 1 1 1
direct
0.0000 0.0000 0.0000
0.7500 0.7500 0.7500
0.2500 0.2500 0.2500
0.5000 0.5000 0.5000
```


(5)
# AcPmScIn

An optimized crystal structure of AcPmScIn (PBE, Alexandria via LeMat-Bulk).

Properties
Formation energy from the elements, eV/atom: -0.031
D(E_F), states/eV/cell: 8.2
Final energy, eV per atom: -4.51
Space group: F-43m, No. 216

The structure in POSCAR format:
```
AcPmScIn
1.0
-3.7146 -3.5555 -2.0337
1.4522 -3.5270 -4.0033
0.4497 -5.3999 1.1019
Sc Pm In Ac
1 1 1 1
direct
0.0000 0.0000 0.0000
0.5000 0.5000 0.5000
0.7500 0.7500 0.7500
0.2500 0.2500 0.2500
```


(6)
# AcPmIn2Se4

An optimized crystal structure of AcPmIn2Se4 (PBE, Alexandria via LeMat-Bulk).

Properties
Formation energy (no corrections), eV/atom: -1.31
Final energy, eV per atom: -4.84
Space group: P2/m, No. 10

The structure in POSCAR format:
```
AcPmIn2Se4
1.0
4.4054 0.0000 0.0000
0.0000 8.0972 -0.3298
0.0000 2.6823 7.1546
In Se Ac Pm
2 4 1 1
direct
0.5000 0.0000 0.5000
0.0000 0.0000 0.0000
0.0000 0.7198 0.7471
0.5000 0.2853 0.7263
0.5000 0.7147 0.2737
0.0000 0.2802 0.2529
0.5000 0.5000 0.0000
0.0000 0.5000 0.5000
```


(7)
# AcPmSmIn

An optimized crystal structure of AcPmSmIn (PBE, Alexandria via LeMat-Bulk).

Properties
Formation energy from the elements, eV/atom: -0.079
D(E_F), states/eV/cell: 7.6
Final energy, eV per atom: -4.16
Space group: F-43m, No. 216

The structure in POSCAR format:
```
AcPmSmIn
1.0
5.6839 0.0000 0.0000
2.8419 4.9224 0.0000
2.8419 1.6408 4.6409
In Pm Ac Sm
1 1 1 1
direct
0.5000 0.5000 0.5000
0.2500 0.2500 0.2500
0.0000 0.0000 0.0000
0.7500 0.7500 0.7500
```


(8)
# AcPmInSn

An optimized crystal structure of AcPmInSn (PBE, Alexandria via LeMat-Bulk).

Properties
Formation energy from the elements, eV/atom: -0.524
D(E_F), states/eV/cell: 2.5
Final energy, eV per atom: -4.42
Space group: Imm2, No. 44

The structure in POSCAR format:
```
AcPmInSn
1.0
5.0416 0.0000 0.0000
0.0000 4.3698 0.0000
-2.5208 -2.1849 5.7692
Pm Sn In Ac
1 1 1 1
direct
0.1223 0.1223 0.2446
0.6409 0.6409 0.2817
0.8308 0.3308 0.6616
0.3852 0.8852 0.7703
```


(9)
# AcPmInSn

An optimized crystal structure of AcPmInSn (PBE, Alexandria via LeMat-Bulk).

Properties
Formation energy from the elements, eV/atom: -0.502
D(E_F), states/eV/cell: 2.5
Final energy, eV per atom: -4.40
Space group: F-43m, No. 216

The structure in POSCAR format:
```
AcPmInSn
1.0
-5.5683 0.8715 -0.0066
-3.5097 -4.1895 1.3770
-2.8299 0.1805 4.8708
Sn In Ac Pm
1 1 1 1
direct
0.7500 0.7500 0.7500
0.2500 0.2500 0.2500
0.0000 0.0000 0.0000
0.5000 0.5000 0.5000
```


(10)
# AcTb2PmIn4

An optimized crystal structure of AcTb2PmIn4 (PBE, Alexandria via LeMat-Bulk).

Properties
Formation energy from the elements, eV/atom: -0.440
D(E_F), states/eV/cell: 4.5
Final energy, eV per atom: -4.07
Space group: R-3m, No. 166

The structure in POSCAR format:
```
AcTb2PmIn4
1.0
5.4858 0.0000 0.0000
2.7429 4.7508 0.0000
2.7429 1.5836 8.9873
In Tb Pm Ac
4 2 1 1
direct
0.3780 0.3780 0.8659
0.8725 0.8725 0.3826
0.1275 0.1275 0.6174
0.6220 0.6220 0.1341
0.2497 0.2497 0.2510
0.7503 0.7503 0.7490
0.5000 0.5000 0.5000
0.0000 0.0000 0.0000
```


(11)
# AcTbPm2In4

An optimized crystal structure of AcTbPm2In4 (PBE, Alexandria via LeMat-Bulk).

Properties
Formation energy from the elements, eV/atom: -0.443
D(E_F), states/eV/cell: 4.4
Final energy, eV per atom: -4.09
Space group: R-3m, No. 166

The structure in POSCAR format:
```
AcTbPm2In4
1.0
5.5068 0.0000 0.0000
2.7534 4.7690 0.0000
2.7534 1.5897 9.0450
Pm In Tb Ac
2 4 1 1
direct
0.7508 0.7508 0.7477
0.2492 0.2492 0.2523
0.6209 0.6209 0.1373
0.3791 0.3791 0.8627
0.8717 0.8717 0.3850
0.1283 0.1283 0.6150
0.5000 0.5000 0.5000
0.0000 0.0000 0.0000
```


(12)
# AcTbPmIn

An optimized crystal structure of AcTbPmIn (PBE, Alexandria via LeMat-Bulk).

Properties
Formation energy from the elements, eV/atom: -0.064
D(E_F), states/eV/cell: 7.4
Final energy, eV per atom: -4.12
Space group: F-43m, No. 216

The structure in POSCAR format:
```
AcTbPmIn
1.0
5.6535 0.0000 0.0000
2.8267 4.8961 0.0000
2.8267 1.6320 4.6161
In Ac Pm Tb
1 1 1 1
direct
0.2500 0.2500 0.2500
0.7500 0.7500 0.7500
0.5000 0.5000 0.5000
0.0000 0.0000 0.0000
```


(13)
# AcPmIn2Te4

An optimized crystal structure of AcPmIn2Te4 (PBE, Alexandria via LeMat-Bulk).

Properties
Formation energy (no corrections), eV/atom: -1.02
Final energy, eV per atom: -4.38
Space group: P2/m, No. 10

The structure in POSCAR format:
```
AcPmIn2Te4
1.0
-2.8541 -3.3062 -1.5587
0.6561 -4.0873 7.4684
-5.8043 2.7167 4.8654
Te In Pm Ac
4 2 1 1
direct
0.0000 0.2679 0.2568
0.5000 0.7261 0.2701
0.0000 0.7321 0.7432
0.5000 0.2740 0.7299
0.0000 0.0000 0.0000
0.5000 0.0000 0.5000
0.0000 0.5000 0.5000
0.5000 0.5000 0.0000
```


(14)
# AcPmThIn

An optimized crystal structure of AcPmThIn (PBE, Alexandria via LeMat-Bulk).

Properties
Formation energy from the elements, eV/atom: 0.005
D(E_F), states/eV/cell: 5.9
Final energy, eV per atom: -4.75
Space group: F-43m, No. 216

The structure in POSCAR format:
```
AcPmThIn
1.0
-3.2369 4.5817 0.9219
-5.2923 -0.6112 1.9841
-1.2420 1.5795 5.3181
Ac In Pm Th
1 1 1 1
direct
0.2500 0.2500 0.2500
0.7500 0.7500 0.7500
0.5000 0.5000 0.5000
0.0000 0.0000 0.0000
```